A relaxed structure of InIrSe2, computed with PBEsol.

Values from the calculation:
The calculation puts the uncorrected formation energy at -0.033 eV/atom. Its calculated total energy is -5.159 eV per atom. For the theoretical density, the calculation gives 9.1 Mg/m³.

```
4
Lattice="-0.807 0.600 -3.305 -3.188 -2.505 0.324 -2.682 5.296 1.617" Properties=species:S:1:pos:R:3 pbc="T T T"
Se -3.069 4.751 1.612
In -3.074 1.656 1.052
Se -3.726 -0.136 -0.920
Ir -2.425 3.813 -0.521
```

A relaxed structure of BaSbTeI2, computed with PBEsol.

Values from the calculation:
The calculation puts the uncorrected formation energy at -0.367 eV/atom. Its calculated total energy is -3.120 eV per atom. For the theoretical density, the calculation gives 5.2 Mg/m³.

```
5
Lattice="5.884 0.000 0.000 0.000 5.885 0.000 0.000 0.000 5.885" Properties=species:S:1:pos:R:3 pbc="T T T"
I 0.000 0.000 2.942
Ba 2.942 2.942 2.942
Te 0.000 0.000 0.000
Sb 2.942 0.000 0.000
I 0.000 2.942 0.000
```

A relaxed structure of YMoPb2, computed with PBEsol.

Values from the calculation:
Its calculated total energy is -6.386 eV per atom. Its formation energy is 0.261 eV per atom. For the theoretical density, the calculation gives 10.6 Mg/m³.

```
4
Lattice="-3.205 0.781 1.696 -1.791 -2.242 -2.351 0.971 -5.220 4.237" Properties=species:S:1:pos:R:3 pbc="T T T"
Mo -1.750 -4.751 2.936
Y 0.508 -2.733 2.218
Pb 0.934 -5.023 4.077
Pb -2.261 -2.005 0.707
```

A relaxed structure of BaRu3, computed with PBEsol.

Values from the calculation:
Its calculated total energy is -7.642 eV per atom. Its formation energy is 0.524 eV per atom. For the theoretical density, the calculation gives 8.0 Mg/m³.

```
4
Lattice="-1.637 -3.050 -2.541 3.852 1.695 -0.888 0.499 -4.150 4.661" Properties=species:S:1:pos:R:3 pbc="T T T"
Ru 1.296 -3.237 -0.577
Ba 0.000 0.000 0.000
Ru -0.569 -3.600 1.060
Ru 1.418 -2.268 1.809
```

A relaxed structure of NaHf2Co, computed with PBEsol.

Values from the calculation:
Its calculated total energy is -7.110 eV per atom. Its formation energy is 0.426 eV per atom. For the theoretical density, the calculation gives 10.6 Mg/m³.

```
4
Lattice="4.599 0.000 0.000 2.300 3.983 0.000 2.300 1.328 3.755" Properties=species:S:1:pos:R:3 pbc="T T T"
Hf 6.899 3.983 2.816
Na 0.000 0.000 0.000
Hf 2.300 1.328 0.939
Co 4.599 2.655 1.878
```

A relaxed structure of MnTe2Rh, computed with PBEsol.

Values from the calculation:
The calculation puts the uncorrected formation energy at 0.102 eV/atom. Its calculated total energy is -6.136 eV per atom. For the theoretical density, the calculation gives 8.6 Mg/m³.

```
4
Lattice="-1.156 0.004 3.262 3.534 -0.934 1.253 0.167 6.231 -1.783" Properties=species:S:1:pos:R:3 pbc="T T T"
Te 0.211 3.355 1.907
Mn 1.309 5.564 0.458
Te 0.102 0.433 0.036
Rh 2.280 1.713 0.806
```